The following is a DFT calculation (GGA+U) of crystalline Tb2AlVO6 at its relaxed geometry.

abc: 5.2953 5.5509 9.2434
angles: 90.00 124.87 90.00
With the nearest neighbours (Å) after each atom.
Atoms (fractional coordinates):
Tb 0.2316 0.0632 0.2493  6 O 2.27-2.49
Tb 0.2316 0.4368 0.7493  6 O 2.27-2.49
Tb 0.7684 0.5632 0.2507  6 O 2.27-2.49
Tb 0.7684 0.9368 0.7507  6 O 2.27-2.49
Al 0.0000 0.0000 0.5000  6 O 1.92-1.94
Al 0.0000 0.5000 0.0000  6 O 1.92-1.94
V 0.5000 0.0000 0.0000  6 O 2.03-2.06
V 0.5000 0.5000 0.5000  6 O 2.03-2.06
O 0.1356 0.2098 0.9464  1 Al 1.94, 1 V 2.06
O 0.1356 0.2902 0.4464  1 Al 1.94, 1 V 2.06
O 0.2435 0.6947 0.9491  1 Al 1.94, 1 V 2.05
O 0.2435 0.8053 0.4491  1 Al 1.94, 1 V 2.05
O 0.3431 0.0308 0.7423  1 Al 1.92, 1 V 2.03
O 0.3431 0.4692 0.2423  1 Al 1.92, 1 V 2.03
O 0.6569 0.5308 0.7577  1 Al 1.92, 1 V 2.03
O 0.6569 0.9692 0.2577  1 Al 1.92, 1 V 2.03
O 0.7565 0.1947 0.5509  1 Al 1.94, 1 V 2.05
O 0.7565 0.3053 0.0509  1 Al 1.94, 1 V 2.05
O 0.8644 0.7098 0.5536  1 Al 1.94, 1 V 2.06
O 0.8644 0.7902 0.0536  1 Al 1.94, 1 V 2.06

Computed properties:
E_tot in eV per cell: -162.10
Total magnetic moment in Bohr magnetons per cell: 4.0
SG: No. 14